No. 1
First-principles (GGA-PBE) data for Er4HSe3 after structural relaxation, as listed in Alexandria via LeMat-Bulk.

Lattice parameters (Å, degrees): 8.872 7.780 5.779 90.00 90.00 90.00
Space group Pmn2_1 (No. 31)
Symmetry-distinct sites (fractional):
1 Er 0.000 0.128 0.000
2 Er 0.000 0.869 0.490
3 Er 0.201 0.717 0.003
4 H 0.000 0.853 0.859
5 Se 0.000 0.221 0.503
6 Se 0.246 0.646 0.504

As for the electronic total energy: -83.4 eV/cell. Its magnetization is 0.001 μB per atom.

=====

No. 2
First-principles (GGA-PBE) data for Er4HSe5 after structural relaxation, as listed in Alexandria via LeMat-Bulk.

Lattice parameters (Å, degrees): 14.894 4.062 10.688 90.00 108.15 90.00
Space group C2/m (No. 12)
Symmetry-distinct sites (fractional):
1 Er 0.006 0.000 0.325
2 Er 0.149 0.500 0.077
3 H 0.000 0.500 0.000
4 Se 0.000 0.500 0.500
5 Se 0.150 0.000 0.888
6 Se 0.166 0.000 0.262

As for the electronic total energy: -107.3 eV/cell. Its magnetization is 0.000 μB per atom.

=====

No. 3
First-principles (GGA-PBE) data for Er4H2Se5 after structural relaxation, as listed in Alexandria via LeMat-Bulk.

Lattice parameters (Å, degrees): 19.621 3.999 7.988 90.00 103.59 90.00
Space group C2/m (No. 12)
Symmetry-distinct sites (fractional):
1 Er 0.038 0.000 0.262
2 Er 0.170 0.500 0.543
3 H 0.072 0.500 0.355
4 Se 0.000 0.500 0.000
5 Se 0.092 0.000 0.651
6 Se 0.188 0.000 0.300

As for the electronic total energy: -118.0 eV/cell. Its magnetization is 0.000 μB per atom.

=====

No. 4
First-principles (GGA-PBE) data for Er2HSe3 after structural relaxation, as listed in Alexandria via LeMat-Bulk.

Lattice parameters (Å, degrees): 14.954 4.228 10.393 90.00 114.54 90.00
Space group C2/m (No. 12)
Symmetry-distinct sites (fractional):
1 Er 0.106 0.000 0.446
2 Er 0.143 0.500 0.820
3 H 0.058 0.000 0.626
4 Se 0.056 0.500 0.249
5 Se 0.149 0.000 0.992
6 Se 0.221 0.500 0.621

As for the electronic total energy: -120.8 eV/cell. The relative energy among the computed polymorphs is 0.149 eV per atom. Its magnetization is 0.000 μB per atom.

=====

No. 5
First-principles (GGA-PBE) data for Er2H4Se after structural relaxation, as listed in Alexandria via LeMat-Bulk.

Lattice parameters (Å, degrees): 3.7106 3.7106 21.2211 90.00 90.00 120.00
Space group R-3m (No. 166, hexagonal axes)
Symmetry-distinct sites (fractional):
1 Er 0.0000 0.0000 0.2407
2 H 0.0000 0.0000 0.1376
3 H 0.0000 0.0000 0.4342
4 Se 0.0000 0.0000 0.0000

As for the electronic total energy: -98.5 eV/cell. Its magnetization is 0.000 μB per atom.

=====

No. 6
First-principles (GGA-PBE) data for Er3HSe2 after structural relaxation, as listed in Alexandria via LeMat-Bulk.

Lattice parameters (Å, degrees): 13.595 7.492 5.696 90.00 90.00 90.00
Space group Cmc2_1 (No. 36)
Symmetry-distinct sites (fractional):
1 Er 0.000 0.107 0.000
2 Er 0.147 0.267 0.508
3 H 0.000 0.176 0.377
4 Se 0.158 0.352 0.008

As for the electronic total energy: -122.1 eV/cell. Its magnetization is 0.003 μB per atom.